Record 1
The following is a DFT calculation (PBE) of crystalline Hf9Sc4Al11 at its relaxed geometry.

Calculated values
Volume in Å³/f.u.: 462.8
E_form in meV per atom: -283

abc: 12.4065 12.4065 3.0123
angles: 90.00 90.00 93.53
Atoms (fractional coordinates):
Hf  0.0000  0.0000  0.0000
Hf  0.1243  0.6321  0.0000
Hf  0.2940  0.4661  0.0000
Hf  0.3679  0.8757  0.0000
Hf  0.4661  0.2940  0.0000
Hf  0.5339  0.7060  0.0000
Hf  0.6321  0.1243  0.0000
Hf  0.7060  0.5339  0.0000
Hf  0.8757  0.3679  0.0000
Sc  0.0604  0.2273  0.0000
Sc  0.2273  0.0604  0.0000
Sc  0.7727  0.9396  0.0000
Sc  0.9396  0.7727  0.0000
Al  0.0842  0.4292  0.5000
Al  0.1480  0.8520  0.5000
Al  0.2633  0.2633  0.5000
Al  0.3298  0.6702  0.5000
Al  0.4292  0.0842  0.5000
Al  0.5000  0.5000  0.5000
Al  0.5708  0.9158  0.5000
Al  0.6702  0.3298  0.5000
Al  0.7367  0.7367  0.5000
Al  0.8520  0.1480  0.5000
Al  0.9158  0.5708  0.5000

Record 2
The following is a DFT calculation (PBE) of crystalline HfSc3Al at its relaxed geometry.

Calculated values
Volume in Å³/f.u.: 136.2
E_form in meV per atom: 866
E above lowest polymorph in kJ/mol of atoms: 78.9

abc: 5.1456 5.1456 5.1456
angles: 90.00 90.00 90.00
Atoms (fractional coordinates):
Hf  0.0000  0.0000  0.0000
Sc  0.0000  0.0000  0.5000
Sc  0.0000  0.5000  0.0000
Sc  0.5000  0.0000  0.0000
Al  0.5000  0.5000  0.5000